1.
DFT (PBE with a Hubbard U) results for a relaxed Rb2BaVF6 crystal.

Results
ρ = 3995 kg/m³
excess energy over the best structure of this formula in the dataset = 0.000 eV/atom
E_tot = -5.2860 eV per atom
magnetization = 6.0 μB/cell
crystal system = monoclinic
Fermi-level density of states = 0.00 states/eV/f.u.

Lattice parameters (Å, degrees): 6.5181 6.5453 11.2129 90.00 124.68 90.00
Sites, in units of the cell vectors:
Rb  0.2373  0.0344  0.2472
Rb  0.2373  0.4656  0.7472
Rb  0.7627  0.5344  0.2528
Rb  0.7627  0.9656  0.7528
Ba  0.5000  0.0000  0.0000
Ba  0.5000  0.5000  0.5000
V  0.0000  0.0000  0.5000
V  0.0000  0.5000  0.0000
F  0.1457  0.2368  0.9574
F  0.1457  0.2632  0.4574
F  0.2193  0.6929  0.9591
F  0.2193  0.8071  0.4591
F  0.3025  0.0225  0.7249
F  0.3025  0.4775  0.2249
F  0.6975  0.5225  0.7751
F  0.6975  0.9775  0.2751
F  0.7807  0.1929  0.5409
F  0.7807  0.3071  0.0409
F  0.8543  0.7368  0.5426
F  0.8543  0.7632  0.0426



2.
DFT (PBE with a Hubbard U) results for a relaxed Rb2BaVF6 crystal.

Results
ρ = 3873 kg/m³
excess energy over the best structure of this formula in the dataset = 0.013 eV/atom
E_tot = -5.2727 eV per atom
magnetization = 3.0 μB/cell
crystal system = cubic
Fermi-level density of states = 0.00 states/eV/f.u.

Lattice parameters (Å, degrees): 6.5955 6.5955 6.5955 60.00 60.00 60.00
Sites, in units of the cell vectors:
Rb  0.2500  0.2500  0.2500
Rb  0.7500  0.7500  0.7500
Ba  0.0000  0.0000  0.0000
V  0.5000  0.5000  0.5000
F  0.2727  0.2727  0.7273
F  0.2727  0.7273  0.2727
F  0.2727  0.7273  0.7273
F  0.7273  0.2727  0.2727
F  0.7273  0.2727  0.7273
F  0.7273  0.7273  0.2727



3.
DFT (PBE with a Hubbard U) results for a relaxed Rb2BaWF8 crystal.

Results
ρ = 4494 kg/m³
E_tot = -5.2184 eV per atom
magnetization = 2.0 μB/cell
crystal system = triclinic
Fermi-level density of states = 0.00 states/eV/f.u.

Lattice parameters (Å, degrees): 4.4970 6.4298 8.2751 89.35 89.94 84.11
Sites, in units of the cell vectors:
Rb  0.0047  0.0038  0.2584
Rb  0.9953  0.9962  0.7416
Ba  0.5000  0.5000  0.0000
W  0.5000  0.5000  0.5000
F  0.0156  0.2669  0.9955
F  0.1144  0.6829  0.5037
F  0.4077  0.3116  0.6873
F  0.4224  0.3096  0.3056
F  0.5776  0.6904  0.6944
F  0.5923  0.6884  0.3127
F  0.8856  0.3171  0.4963
F  0.9844  0.7331  0.0045



4.
DFT (PBE with a Hubbard U) results for a relaxed Rb2BaWF6 crystal.

Results
ρ = 4538 kg/m³
E_tot = -4.9250 eV per atom
magnetization = 3.2 μB/cell
crystal system = cubic
Fermi-level density of states = 2.01 states/eV/f.u.

Lattice parameters (Å, degrees): 6.7944 6.7944 6.7944 60.00 60.00 60.00
Sites, in units of the cell vectors:
Rb  0.2500  0.2500  0.2500
Rb  0.7500  0.7500  0.7500
Ba  0.0000  0.0000  0.0000
W  0.5000  0.5000  0.5000
F  0.2747  0.2747  0.7253
F  0.2747  0.7253  0.2747
F  0.2747  0.7253  0.7253
F  0.7253  0.2747  0.2747
F  0.7253  0.2747  0.7253
F  0.7253  0.7253  0.2747